[1]
# NiIBr4 | the Alexandria database | GGA-PBE | relaxed
data_NiIBr4
_cell_length_a 8.523
_cell_length_b 17.917
_cell_length_c 6.278
_cell_angle_alpha 90.00
_cell_angle_beta 112.87
_cell_angle_gamma 90.00
_space_group_name_H-M_alt 'C 1 2/c 1'
_space_group_IT_number 15
loop_
_space_group_symop_operation_xyz
'x,y,z'
'-x,-y,-z'
'-x,y,-z+1/2'
'x,-y,z+1/2'
'x+1/2,y+1/2,z'
'-x+1/2,-y+1/2,-z'
'-x+1/2,y+1/2,-z+1/2'
'x+1/2,-y+1/2,z+1/2'
loop_
_atom_site_label
_atom_site_type_symbol
_atom_site_fract_x
_atom_site_fract_y
_atom_site_fract_z
Ni1 Ni 0.000 0.051 0.250
I1 I 0.000 0.359 0.750
Br1 Br 0.173 0.159 0.206
Br2 Br 0.175 0.045 0.654
# Total DFT energy (no corrections): -15.06 eV/f.u.

[2]
# NiI2Br | the Alexandria database | GGA-PBE | relaxed
data_NiI2Br
_cell_length_a 5.169
_cell_length_b 13.245
_cell_length_c 3.850
_cell_angle_alpha 90.00
_cell_angle_beta 90.00
_cell_angle_gamma 90.00
_space_group_name_H-M_alt 'A m m 2'
_space_group_IT_number 38
loop_
_space_group_symop_operation_xyz
'x,y,z'
'-x,-y,z'
'-x,y,z'
'x,-y,z'
'x,y+1/2,z+1/2'
'-x,-y+1/2,z+1/2'
'-x,y+1/2,z+1/2'
'x,-y+1/2,z+1/2'
loop_
_atom_site_label
_atom_site_type_symbol
_atom_site_fract_x
_atom_site_fract_y
_atom_site_fract_z
Ni1 Ni 0.000 0.000 0.000
I1 I 0.000 0.131 0.500
Br1 Br 0.500 0.000 0.005
# E above lowest polymorph: 0.000 eV/atom
# Total DFT energy (no corrections): -10.78 eV/f.u.

[3]
# NiI2Br | the Alexandria database | GGA-PBE | relaxed
data_NiI2Br
_cell_length_a 3.9537
_cell_length_b 3.9537
_cell_length_c 23.6485
_cell_angle_alpha 90.00
_cell_angle_beta 90.00
_cell_angle_gamma 120.00
_space_group_name_H-M_alt 'R -3 m'
_space_group_IT_number 166
_space_group_name_Hall '-R 3 2"'
loop_
_atom_site_label
_atom_site_type_symbol
_atom_site_fract_x
_atom_site_fract_y
_atom_site_fract_z
Ni1 Ni 0.0000 0.0000 0.0000
I1 I 0.0000 0.0000 0.2724
Br1 Br 0.0000 0.0000 0.5000
# E above lowest polymorph: 0.091 eV/atom
# Total DFT energy (no corrections): -10.42 eV/f.u.